Entry from the Open Quantum Materials Database: a relaxed Ho2TmFe2B2N3 crystal (PBE).

a = 3.4172 Å, b = 3.4172 Å, c = 20.2362 Å
α = 90.00°, β = 90.00°, γ = 90.00°
Space group I4/mmm (No. 139)
Inequivalent atoms, fractional coordinates:
1 Ho 0.0000 0.0000 0.1212 (multiplicity 4)
2 Tm 0.0000 0.0000 0.5000 (multiplicity 2)
3 Fe 0.0000 0.5000 0.2500 (multiplicity 4)
4 B 0.0000 0.0000 0.3131 (multiplicity 4)
5 N 0.0000 0.0000 0.0000 (multiplicity 2)
6 N 0.0000 0.0000 0.3866 (multiplicity 4)

## Properties
Final energy   -0.59279 Ry/atom
M_tot   2.366 μB/f.u.
Crystal system   tetragonal


Entry from the Open Quantum Materials Database: a relaxed Ga2NiTe4 crystal (PBE).

a = 8.1021 Å, b = 8.1021 Å, c = 11.5616 Å
α = 90.00°, β = 90.00°, γ = 90.00°
Space group P4_122 (No. 91)
Inequivalent atoms, fractional coordinates:
1 Ga 0.0000 0.2618 0.0000 (multiplicity 4)
2 Ga 0.2530 0.2530 0.3750 (multiplicity 4)
3 Ni 0.2489 0.5000 0.7500 (multiplicity 4)
4 Te 0.0292 0.2636 0.7511 (multiplicity 8)
5 Te 0.2693 0.4842 0.9785 (multiplicity 8)

## Properties
Final energy   -0.26718 Ry/atom
M_tot   0.002 μB/f.u.
Crystal system   tetragonal